ZnRePt2 (meta-GGA SCAN, PBEsol geometry); M_tot = 0.0 μB/cell; SG = Cm (8); raw total energy = -225.82 eV per formula unit
1.0
4.4994 -1.3598 0.0000
4.4994 1.3598 0.0000
-0.6765 0.0000 4.7354
Zn Re Pt
1 1 2
Cartesian
0.0000 0.0000 0.0000
6.5779 0.0000 1.4140
1.7175 0.0000 3.7879
4.1383 0.0000 2.3216